! Mn5CdO8 PBE with a Hubbard U optimized geometry; values from VASP
! calculated volume	157	Å³ per cell
! E_tot	-6.781	eV/atom
! space group	No. 216
&SYSTEM
  ibrav = 0, nat = 14, ntyp = 3
/
ATOMIC_SPECIES
Mn 54.94 Mn.upf
Cd 112.41 Cd.upf
O 16.00 O.upf
CELL_PARAMETERS angstrom
0.0000 4.2859 4.2859
4.2859 0.0000 4.2859
4.2859 4.2859 0.0000
ATOMIC_POSITIONS crystal
Mn 0.0000 0.0000 0.0000
Mn 0.3749 0.3749 0.3749
Mn 0.3749 0.3749 0.8754
Mn 0.3749 0.8754 0.3749
Mn 0.8754 0.3749 0.3749
Cd 0.7500 0.7500 0.7500
O 0.1395 0.1395 0.1395
O 0.1395 0.1395 0.5815
O 0.1395 0.5815 0.1395
O 0.1818 0.6061 0.6061
O 0.5815 0.1395 0.1395
O 0.6061 0.1818 0.6061
O 0.6061 0.6061 0.1818
O 0.6061 0.6061 0.6061